1.
# ReAsBr2

A relaxed ReAsBr2 crystal (PBE, the Alexandria database).

```
ReAsBr2
1.0
3.319 0.000 0.000
0.000 5.645 0.000
0.000 0.000 9.748
Re As Br
2 2 4
Direct
0.000 0.000 0.000 Re
0.500 0.500 0.000 Re
0.000 0.500 0.179 As
0.500 0.000 0.179 As
0.000 0.000 0.435 Br
0.000 0.500 0.789 Br
0.500 0.000 0.789 Br
0.500 0.500 0.435 Br
```

Space group: No. 35
Magnetization, Bohr magnetons per cell: 0.0
Formation energy (no corrections), eV/atom: 0.564
E_tot, eV/atom: -4.55


2.
# Re2AsBr

A relaxed Re2AsBr crystal (PBE, the Alexandria database).

```
Re2AsBr
1.0
2.968 0.000 0.000
0.000 5.283 0.000
0.000 0.000 8.652
Re As Br
4 2 2
Direct
0.000 0.000 0.229 Re
0.000 0.000 0.771 Re
0.500 0.500 0.229 Re
0.500 0.500 0.771 Re
0.000 0.500 0.000 As
0.500 0.000 0.000 As
0.000 0.500 0.500 Br
0.500 0.000 0.500 Br
```

Space group: No. 65
Magnetization, Bohr magnetons per cell: 0.0
Formation energy (no corrections), eV/atom: 1.061
E_tot, eV/atom: -6.74


3.
# ReAsBr2

A relaxed ReAsBr2 crystal (PBE, the Alexandria database).

```
ReAsBr2
1.0
3.114 0.000 0.000
0.000 4.950 0.000
0.000 0.000 12.870
Re As Br
2 2 4
Direct
0.000 0.000 0.000 Re
0.500 0.500 0.500 Re
0.000 0.500 0.649 As
0.500 0.000 0.149 As
0.000 0.000 0.513 Br
0.000 0.500 0.332 Br
0.500 0.000 0.832 Br
0.500 0.500 0.013 Br
```

Space group: No. 44
Magnetization, Bohr magnetons per cell: 0.0
Formation energy (no corrections), eV/atom: 0.515
E_tot, eV/atom: -4.60


4.
# Re2AsBr

A relaxed Re2AsBr crystal (PBE, the Alexandria database).

```
Re2AsBr
1.0
2.929 0.000 0.000
0.000 4.344 0.000
0.000 0.000 11.045
Re As Br
4 2 2
Direct
0.000 0.000 0.000 Re
0.000 0.500 0.307 Re
0.500 0.000 0.807 Re
0.500 0.500 0.500 Re
0.000 0.500 0.737 As
0.500 0.000 0.237 As
0.000 0.000 0.537 Br
0.500 0.500 0.037 Br
```

Space group: No. 44
Magnetization, Bohr magnetons per cell: 0.0
Formation energy (no corrections), eV/atom: 0.936
E_tot, eV/atom: -6.87


5.
# ReAsBr2

A relaxed ReAsBr2 crystal (PBE, the Alexandria database).

```
ReAsBr2
1.0
9.277 0.000 0.000
0.000 9.277 0.000
0.000 0.000 4.753
Re As Br
4 4 8
Direct
0.000 0.000 0.000 Re
0.000 0.500 0.250 Re
0.500 0.000 0.750 Re
0.500 0.500 0.500 Re
0.000 0.000 0.500 As
0.000 0.500 0.750 As
0.500 0.000 0.250 As
0.500 0.500 0.000 As
0.112 0.250 0.125 Br
0.250 0.612 0.375 Br
0.250 0.888 0.875 Br
0.388 0.250 0.625 Br
0.612 0.750 0.625 Br
0.750 0.112 0.875 Br
0.750 0.388 0.375 Br
0.888 0.750 0.125 Br
```

Space group: No. 122
Magnetization, Bohr magnetons per cell: 0.0
Formation energy (no corrections), eV/atom: 0.339
E_tot, eV/atom: -4.77


6.
# ReAsBr2

A relaxed ReAsBr2 crystal (PBE, the Alexandria database).

```
ReAsBr2
1.0
4.728 0.000 0.000
0.000 4.728 0.000
0.000 0.000 3.345
Re As Br
1 1 2
Direct
0.000 0.000 0.000 Re
0.500 0.500 0.000 As
0.000 0.500 0.500 Br
0.500 0.000 0.500 Br
```

Space group: No. 123
Magnetization, Bohr magnetons per cell: 0.0
Formation energy (no corrections), eV/atom: 1.373
E_tot, eV/atom: -3.74


7.
# Re2AsBr

A relaxed Re2AsBr crystal (PBE, the Alexandria database).

```
Re2AsBr
1.0
8.266 0.000 0.000
0.000 3.079 0.000
-1.469 0.000 5.429
Re As Br
4 2 2
Direct
0.242 0.000 0.191 Re
0.258 0.500 0.809 Re
0.742 0.500 0.191 Re
0.758 0.000 0.809 Re
0.000 0.500 0.000 As
0.500 0.000 0.000 As
0.000 0.000 0.500 Br
0.500 0.500 0.500 Br
```

Space group: No. 12
Magnetization, Bohr magnetons per cell: 0.0
Formation energy (no corrections), eV/atom: 0.838
E_tot, eV/atom: -6.97


8.
# Re2AsBr

A relaxed Re2AsBr crystal (PBE, the Alexandria database).

```
Re2AsBr
1.0
2.928 0.000 0.000
0.000 4.974 0.000
0.000 0.000 10.330
Re As Br
4 2 2
Direct
0.000 0.000 0.000 Re
0.000 0.500 0.204 Re
0.500 0.000 0.204 Re
0.500 0.500 0.000 Re
0.000 0.000 0.419 As
0.500 0.500 0.419 As
0.000 0.500 0.762 Br
0.500 0.000 0.762 Br
```

Space group: No. 35
Magnetization, Bohr magnetons per cell: 0.0
Formation energy (no corrections), eV/atom: 0.644
E_tot, eV/atom: -7.16


- Which of these has the highest formation energy (no corrections)?
  number 6


- E_tot of number 7 (Re2AsBr)?
  -6.97 eV/atom


- Which formula does entry 1 have?
  ReAsBr2


Repeat the second record exactly.
# Re2AsBr

A relaxed Re2AsBr crystal (PBE, the Alexandria database).

```
Re2AsBr
1.0
2.968 0.000 0.000
0.000 5.283 0.000
0.000 0.000 8.652
Re As Br
4 2 2
Direct
0.000 0.000 0.229 Re
0.000 0.000 0.771 Re
0.500 0.500 0.229 Re
0.500 0.500 0.771 Re
0.000 0.500 0.000 As
0.500 0.000 0.000 As
0.000 0.500 0.500 Br
0.500 0.000 0.500 Br
```

Space group: No. 65
Magnetization, Bohr magnetons per cell: 0.0
Formation energy (no corrections), eV/atom: 1.061
E_tot, eV/atom: -6.74